ZnIn2Ru PBE-GGA optimized geometry; mass density = 9.0 g/cm³; DOS(E_F) = 3.3 states/eV per cell; space-group type = No. 216; total DFT energy (no corrections) = -14.6 eV for the cell shown; formation enthalpy at 0 K = 352 meV per atom
1.0
-2.198 0.775 -4.066
-2.318 -3.483 -2.111
-4.683 0.060 -0.157
In Ru Zn
2 1 1
Direct
0.000 0.000 0.000
0.250 0.250 0.250
0.500 0.500 0.500
0.750 0.750 0.750


TiTl PBE-GGA optimized geometry; mass density = 9.2 g/cm³; DOS(E_F) = 6.5 states/eV per cell; space-group type = No. 225; total DFT energy (no corrections) = -37.3 eV for the cell shown; formation enthalpy at 0 K = 462 meV per atom
1.0
-0.020 -4.580 3.324
5.409 0.961 1.356
-1.661 3.182 4.375
Ti Tl
4 4
Direct
0.500 0.500 0.500
0.500 0.000 0.000
0.000 0.500 0.000
0.000 0.000 0.500
0.000 0.000 0.000
0.000 0.500 0.500
0.500 0.000 0.500
0.500 0.500 0.000


Ca12Te3H5 PBE-GGA optimized geometry; mass density = 2.7 g/cm³; DOS(E_F) = 67.4 states/eV per cell; space-group type = No. 230; total DFT energy (no corrections) = -242.6 eV for the cell shown
1.0
14.058 0.000 0.000
-4.686 13.254 0.000
-4.686 -6.627 11.479
Te H Ca
12 20 48
Direct
0.750 0.375 0.125
0.875 0.750 0.125
0.375 0.750 0.625
0.250 0.125 0.375
0.875 0.125 0.250
0.375 0.625 0.250
0.625 0.375 0.750
0.125 0.875 0.750
0.750 0.875 0.625
0.625 0.250 0.375
0.125 0.250 0.875
0.250 0.625 0.875
0.125 0.375 0.250
0.000 0.500 0.000
0.000 0.000 0.000
0.375 0.250 0.125
0.500 0.000 0.500
0.500 0.500 0.000
0.125 0.750 0.375
0.750 0.125 0.875
0.750 0.625 0.375
0.375 0.125 0.750
0.625 0.875 0.250
0.500 0.500 0.500
0.500 0.000 0.000
0.000 0.000 0.500
0.250 0.375 0.625
0.250 0.875 0.125
0.000 0.500 0.500
0.875 0.250 0.625
0.625 0.750 0.875
0.875 0.625 0.750
0.706 0.111 0.010
0.304 0.510 0.399
0.990 0.389 0.294
0.510 0.206 0.111
0.595 0.706 0.696
0.990 0.601 0.196
0.304 0.794 0.405
0.101 0.905 0.111
0.601 0.990 0.696
0.706 0.595 0.196
0.794 0.490 0.389
0.804 0.899 0.010
0.111 0.706 0.510
0.389 0.399 0.095
0.095 0.899 0.389
0.405 0.111 0.601
0.095 0.196 0.206
0.490 0.696 0.101
0.804 0.905 0.294
0.111 0.405 0.101
0.389 0.990 0.794
0.601 0.611 0.405
0.899 0.804 0.510
0.794 0.304 0.905
0.399 0.389 0.595
0.101 0.196 0.490
0.206 0.696 0.095
0.196 0.095 0.706
0.611 0.010 0.206
0.889 0.595 0.899
0.510 0.304 0.899
0.595 0.889 0.399
0.905 0.804 0.794
0.905 0.101 0.611
0.889 0.294 0.490
0.196 0.101 0.990
0.611 0.601 0.905
0.399 0.010 0.304
0.294 0.405 0.804
0.206 0.510 0.611
0.899 0.095 0.889
0.696 0.206 0.595
0.490 0.794 0.889
0.010 0.399 0.804
0.405 0.294 0.304
0.010 0.611 0.706
0.696 0.490 0.601
0.294 0.889 0.990


HoPu2ThTe5 PBE-GGA optimized geometry; mass density = 7.1 g/cm³; DOS(E_F) = 29.8 states/eV per cell; space-group type = No. 123; raw formation energy = -0.578 eV/atom; total DFT energy (no corrections) = -61.6 eV for the cell shown
1.0
5.480 0.000 0.000
0.000 5.480 0.000
0.000 0.000 11.777
Ho Pu Th Te
1 2 1 5
Direct
0.000 0.000 0.500
0.500 0.500 0.333
0.500 0.500 0.667
0.000 0.000 0.000
0.000 0.500 0.500
0.500 0.000 0.500
0.000 0.000 0.752
0.000 0.000 0.248
0.500 0.500 0.000


The highest total DFT energy (no corrections) belongs to which entry? ZnIn2Ru


Which value of total DFT energy (no corrections) does entry 4 give? -61.6 eV for the cell shown


mass density of number 4 (HoPu2ThTe5)? 7.1 g/cm³


mass density of number 3 (Ca12Te3H5)? 2.7 g/cm³